! Li3Al (PBE, relaxed); values from VASP
&SYSTEM
  ibrav = 0, nat = 8, ntyp = 2
/
ATOMIC_SPECIES
Li 6.94 Li.upf
Al 26.98 Al.upf
ATOMIC_POSITIONS crystal
Li 0.1058 0.3417 0.7500
Li 0.1806 0.8194 0.7500
Li 0.3417 0.1058 0.2500
Li 0.6583 0.8942 0.7500
Li 0.8194 0.1806 0.2500
Li 0.8942 0.6583 0.2500
Al 0.4023 0.5977 0.2500
Al 0.5977 0.4023 0.7500
CELL_PARAMETERS angstrom
3.7121 -4.1512 0.0000
3.7121 4.1512 0.0000
0.0000 0.0000 4.3918
! DFT total energy = -2.481 eV/atom
! Symmetry = No. 63
! Formation enthalpy at 0 K = -0.11 eV/atom